[1]
A relaxed NdAuSO crystal. Source: OQMD via LeMat-Bulk, functional PBE.

extended XYZ file:
```
16
Lattice="9.228 0.000 0.000 0.000 5.613 0.000 0.000 0.000 5.728" Properties=species:S:1:pos:R:3 pbc="T T T"
Au 4.136 1.403 0.000
Au 5.092 4.210 0.000
Au 4.136 1.403 2.864
Au 5.092 4.210 2.864
Nd 1.202 2.777 1.432
Nd 8.026 5.583 1.432
Nd 1.202 0.030 4.296
Nd 8.026 2.837 4.296
O 9.204 1.403 0.000
O 0.025 4.210 0.000
O 9.204 1.403 2.864
O 0.025 4.210 2.864
S 6.510 2.704 1.432
S 2.718 5.510 1.432
S 6.510 0.103 4.296
S 2.718 2.910 4.296
```

Output
**Size of the total moment**: 0.00 μB per atom
**Space-group type**: Pbcm (57)

[2]
A relaxed NdAuSO crystal. Source: OQMD via LeMat-Bulk, functional PBE.

extended XYZ file:
```
16
Lattice="6.251 0.000 -0.339 0.000 7.244 0.000 -0.984 0.000 7.731" Properties=species:S:1:pos:R:3 pbc="T T T"
Au 5.901 1.996 -0.196
Au -0.142 5.618 3.722
Au 5.410 1.626 3.669
Au -0.634 5.249 7.588
Nd 3.724 4.624 1.138
Nd 2.036 1.002 2.388
Nd 3.232 6.242 5.003
Nd 1.544 2.620 6.254
O 2.832 2.499 0.783
O 2.928 6.121 2.743
O 2.340 1.123 4.648
O 2.436 4.745 6.609
S 6.030 6.640 1.281
S -0.271 3.018 2.245
S 5.539 4.226 5.147
S -0.763 0.604 6.110
```

Output
**Size of the total moment**: 0.00 μB per atom
**Space-group type**: P2_1/c (14)

[3]
A relaxed NdAuSO crystal. Source: OQMD via LeMat-Bulk, functional PBE.

extended XYZ file:
```
16
Lattice="5.779 0.000 0.000 0.000 5.761 0.000 0.000 0.000 9.123" Properties=species:S:1:pos:R:3 pbc="T T T"
Au 2.865 1.438 4.565
Au 5.755 1.442 4.565
Au 0.024 4.318 4.565
Au 2.914 4.323 4.565
Nd 0.000 0.000 1.176
Nd 2.890 2.880 1.176
Nd 2.890 0.000 7.944
Nd 0.000 2.880 7.944
O 4.337 1.439 9.120
O 1.447 1.441 9.120
O 4.332 4.319 9.120
O 1.442 4.321 9.120
S 2.890 0.000 2.643
S 0.000 2.880 2.643
S 0.000 0.000 6.482
S 2.890 2.880 6.482
```

Output
**Size of the total moment**: 0.00 μB per atom
**Space-group type**: Pba2 (32)

[4]
A relaxed NdAuSO crystal. Source: OQMD via LeMat-Bulk, functional PBE.

extended XYZ file:
```
16
Lattice="5.765 0.000 0.000 0.000 9.124 0.000 0.000 0.000 5.774" Properties=species:S:1:pos:R:3 pbc="T T T"
Au 1.441 4.562 1.442
Au 4.324 4.562 1.445
Au 1.441 4.562 4.329
Au 4.324 4.562 4.332
Nd 2.883 1.180 1.444
Nd 0.000 7.943 1.444
Nd 0.000 1.180 4.331
Nd 2.883 7.943 4.331
O 1.441 0.000 0.003
O 4.324 0.000 2.884
O 1.441 0.000 2.890
O 4.324 0.000 5.771
S 0.000 2.642 1.444
S 2.883 6.481 1.444
S 2.883 2.642 4.331
S 0.000 6.481 4.331
```

Output
**Size of the total moment**: 0.00 μB per atom
**Space-group type**: Cmme (67)

[5]
A relaxed NdAuSO crystal. Source: OQMD via LeMat-Bulk, functional PBE.

extended XYZ file:
```
16
Lattice="-4.076 4.687 -4.412 -1.586 -5.154 -4.010 -4.685 -1.054 3.208" Properties=species:S:1:pos:R:3 pbc="T T T"
Au -2.203 0.046 -2.168
Au -4.988 -0.037 -6.261
Au -3.949 -1.167 0.082
Au -6.733 -1.250 -4.011
Nd -5.019 1.327 -1.761
Nd -3.992 -4.303 -2.112
Nd -8.637 2.268 -1.538
Nd -7.611 -3.362 -1.889
O -1.378 0.504 -0.240
O -4.963 -2.180 -6.357
O -4.489 0.860 0.532
O -8.074 -1.823 -5.585
S -3.070 0.625 -4.254
S -1.304 -2.602 -2.736
S -6.721 1.603 -4.067
S -4.955 -1.624 -2.549
```

Output
**Size of the total moment**: 0.00 μB per atom
**Space-group type**: Pca2_1 (29)

[6]
A relaxed NdAuSO crystal. Source: OQMD via LeMat-Bulk, functional PBE.

extended XYZ file:
```
8
Lattice="0.000 -2.888 -2.888 0.000 -2.888 2.888 -9.073 0.000 0.000" Properties=species:S:1:pos:R:3 pbc="T T T"
Au -4.537 -2.888 -2.155
Au -4.537 -2.888 0.733
Nd -1.178 -1.444 0.738
Nd -7.896 -4.333 0.738
O 0.000 -2.888 -0.706
O 0.000 -2.888 2.182
S -2.625 -4.333 0.734
S -6.449 -1.444 0.734
```

Output
**Size of the total moment**: 0.00 μB per atom
**Space-group type**: Aem2 (39)

[7]
A relaxed NdAuSO crystal. Source: OQMD via LeMat-Bulk, functional PBE.

extended XYZ file:
```
16
Lattice="5.680 0.000 0.000 0.000 5.680 0.000 0.000 0.000 8.998" Properties=species:S:1:pos:R:3 pbc="T T T"
Au 1.420 1.420 4.497
Au 4.260 1.420 4.497
Au 1.420 4.260 4.497
Au 4.260 4.260 4.497
Nd 0.000 0.000 1.210
Nd 2.840 2.840 1.210
Nd 2.840 0.000 7.790
Nd 0.000 2.840 7.790
O 1.420 1.420 0.003
O 4.260 1.420 0.003
O 1.420 4.260 0.003
O 4.260 4.260 0.003
S 2.840 0.000 2.638
S 0.000 2.840 2.638
S 2.840 2.840 6.358
S 0.000 0.000 6.359
```

Output
**Size of the total moment**: 0.00 μB per atom
**Space-group type**: P4mm (99)

[8]
A relaxed NdAuSO crystal. Source: OQMD via LeMat-Bulk, functional PBE.

extended XYZ file:
```
16
Lattice="-0.900 -3.662 -4.231 2.122 -4.188 3.174 -8.362 -1.744 3.288" Properties=species:S:1:pos:R:3 pbc="T T T"
Au -4.340 -4.095 -0.689
Au -3.590 -2.857 1.876
Au -3.407 -6.708 0.299
Au -2.657 -5.470 2.864
Nd -1.550 -2.060 -1.683
Nd -0.039 -2.324 2.019
Nd -7.254 -1.513 2.852
Nd -6.643 -5.438 2.324
O -0.159 -3.787 -2.373
O 0.296 -1.966 -0.250
O 0.900 -5.890 -0.796
O 1.355 -4.069 1.327
S -2.515 -0.524 0.989
S -1.904 -4.450 0.460
S -6.424 -3.077 0.233
S -4.913 -3.340 3.936
```

Output
**Size of the total moment**: 0.00 μB per atom
**Space-group type**: P4bm (100)

Results for raw total energy: -6.05, -5.95, -6.18, -6.18, -5.83, -6.18, -6.04, -6.09 (in eV/atom, following the order of the records).
Results for polymorph energy (0 for the lowest one): 127, 233, 0, 0, 354, 0, 139, 95 (in meV/atom, following the order of the records).
Results for calculated density: 8.714, 7.437, 8.513, 8.513, 8.746, 8.540, 8.907, 8.795 (in g/cm³, following the order of the records).